VASP calculation (PBE) on an optimized crystal structure of EuCuRh.

Values from the calculation:
ΔE to the lowest computed polymorph (eV/atom): 0.0964
E_form (eV/atom): -0.114
Calculated total energy (eV per cell): -44.126

Cell: 3.4253 3.4253 9.8886 Å, 90.00 90.00 90.00°
Last column: nearest neighbours and their distance in Å.
Fractional coordinates of all 6 atoms:
Eu 0.0000 0.0000 0.0000  5 Cu 2.89-3.18, 5 Rh 2.97-3.12
Eu 0.5000 0.5000 0.5000  5 Cu 2.89-3.18, 5 Rh 2.97-3.12
Cu 0.0000 0.0000 0.7077  4 Rh 2.59, 1 Eu 2.89
Cu 0.5000 0.5000 0.2077  4 Rh 2.59, 1 Eu 2.89
Rh 0.0000 0.0000 0.3004  4 Cu 2.59
Rh 0.5000 0.5000 0.8004  4 Cu 2.59